1.
CeDyPdRh | PBE-GGA | optimized geometry

Calculated values
Symmetry   No. 38
Energy above the lowest structure with this stoichiometry   0.000 eV/atom
Calculated formation energy   -0.831 eV per atom
D(E_F)   4.9 states/eV/f.u.
V   89.0 Å³/cell

The structure in extended XYZ format:
```
4
Lattice="3.794 0.000 0.000 0.000 4.182 0.000 -1.897 0.000 5.609" Properties=species:S:1:pos:R:3 pbc="T T T"
Ce 1.897 2.091 4.121
Rh 0.000 0.000 4.515
Dy 0.000 0.000 1.602
Pd 1.897 2.091 0.981
```

***

2.
CeDyPdRu | PBE-GGA | optimized geometry

Calculated values
Symmetry   No. 216
Calculated formation energy   -0.541 eV per atom
D(E_F)   4.9 states/eV/f.u.
V   84.6 Å³/cell

The structure in extended XYZ format:
```
4
Lattice="4.927 0.000 0.000 2.464 4.267 0.000 2.464 1.422 4.023" Properties=species:S:1:pos:R:3 pbc="T T T"
Ce 7.391 4.267 3.017
Dy 2.464 1.422 1.006
Ru 4.927 2.845 2.012
Pd 0.000 0.000 0.000
```

***

3.
Ce2DyPdS4 | PBE-GGA | optimized geometry

Calculated values
Symmetry   No. 121
Formation energy from raw total energies   -1.545 eV/atom
D(E_F)   10.0 states/eV/f.u.
V   159.6 Å³/cell

The structure in extended XYZ format:
```
8
Lattice="-3.652 3.661 -4.434 -5.845 -0.465 -0.803 -2.560 5.205 1.174" Properties=species:S:1:pos:R:3 pbc="T T T"
S -2.926 4.023 -1.785
Dy 0.000 0.000 0.000
Ce -4.203 2.370 0.185
S -2.688 0.083 -0.665
S -4.880 6.441 -3.412
Pd -1.826 1.830 -2.217
S -5.214 1.514 -2.636
Ce -6.028 4.200 -2.032
```

***

4.
CeDyPdSe3 | PBE-GGA | optimized geometry

Calculated values
Symmetry   No. 11
Formation energy from raw total energies   -1.559 eV/atom
D(E_F)   5.9 states/eV/f.u.
V   288.7 Å³/cell

The structure in extended XYZ format:
```
12
Lattice="3.998 0.000 0.000 0.000 7.992 0.048 0.000 -2.074 9.025" Properties=species:S:1:pos:R:3 pbc="T T T"
Dy 1.000 5.074 1.633
Se 2.999 3.002 1.374
Ce 2.999 4.953 6.630
Ce 1.000 0.965 2.442
Pd 1.000 -0.462 5.376
Se 1.000 -1.175 7.834
Pd 2.999 6.380 3.696
Se 1.000 4.785 4.432
Se 2.999 1.132 4.641
Dy 2.999 0.844 7.439
Se 2.999 7.093 1.238
Se 1.000 2.916 7.698
```

***

5.
CeDyTcPd | PBE-GGA | optimized geometry

Calculated values
Symmetry   No. 216
Calculated formation energy   -0.363 eV per atom
D(E_F)   2.8 states/eV/f.u.
V   84.4 Å³/cell

The structure in extended XYZ format:
```
4
Lattice="4.924 0.000 0.000 2.462 4.264 0.000 2.462 1.421 4.020" Properties=species:S:1:pos:R:3 pbc="T T T"
Ce 7.385 4.264 3.015
Pd 0.000 0.000 0.000
Tc 4.924 2.843 2.010
Dy 2.462 1.421 1.005
```

***

6.
CeDyZnPd | PBE-GGA | optimized geometry

Calculated values
Symmetry   No. 216
Calculated formation energy   -0.474 eV per atom
D(E_F)   7.3 states/eV/f.u.
V   91.5 Å³/cell

The structure in extended XYZ format:
```
4
Lattice="5.058 0.000 0.000 2.529 4.381 0.000 2.529 1.460 4.130" Properties=species:S:1:pos:R:3 pbc="T T T"
Pd 0.000 0.000 0.000
Ce 7.588 4.381 3.098
Zn 5.058 2.920 2.065
Dy 2.529 1.460 1.033
```

***

7.
CePm12Dy3 | PBE-GGA | optimized geometry

Calculated values
Symmetry   No. 123
Calculated formation energy   0.031 eV per atom
D(E_F)   26.8 states/eV/f.u.
V   538.4 Å³/cell

The structure in extended XYZ format:
```
16
Lattice="5.126 0.000 0.000 0.000 5.126 0.000 0.000 0.000 20.488" Properties=species:S:1:pos:R:3 pbc="T T T"
Pm 0.000 2.563 7.679
Pm 2.563 0.000 17.944
Pm 2.563 0.000 7.679
Pm 2.563 2.563 10.244
Dy 0.000 0.000 10.244
Pm 2.563 0.000 12.809
Dy 0.000 0.000 5.117
Ce 0.000 0.000 0.000
Dy 0.000 0.000 15.371
Pm 0.000 2.563 12.809
Pm 2.563 2.563 15.337
Pm 2.563 2.563 0.000
Pm 0.000 2.563 2.544
Pm 2.563 2.563 5.151
Pm 2.563 0.000 2.544
Pm 0.000 2.563 17.944
```

***

8.
CePm2Dy9 | PBE-GGA | optimized geometry

Calculated values
Symmetry   No. 123
Calculated formation energy   0.034 eV per atom
D(E_F)   17.3 states/eV/f.u.
V   381.9 Å³/cell

The structure in extended XYZ format:
```
12
Lattice="-0.092 -4.952 -0.880 1.312 0.826 -4.786 14.565 -0.950 3.829" Properties=species:S:1:pos:R:3 pbc="T T T"
Dy 7.237 -2.951 1.474
Dy 12.132 -3.271 2.761
Dy 10.320 -2.697 -0.281
Pm 9.733 -0.635 2.558
Dy 3.043 0.257 -1.766
Dy 0.610 -2.063 -2.833
Dy 2.341 -2.632 0.188
Pm 4.832 -0.315 1.270
Ce 0.000 0.000 0.000
Dy 12.834 -0.382 0.808
Dy 7.938 -0.062 -0.479
Dy 5.465 -2.380 -1.557
```

***

9.
CePm4Dy | PBE-GGA | optimized geometry

Calculated values
Symmetry   No. 12
Energy above the lowest structure with this stoichiometry   0.000 eV/atom
Calculated formation energy   0.213 eV per atom
D(E_F)   14.3 states/eV/f.u.
V   202.2 Å³/cell

The structure in extended XYZ format:
```
6
Lattice="-2.604 -1.108 1.937 -2.424 1.763 -5.285 4.906 -10.533 0.572" Properties=species:S:1:pos:R:3 pbc="T T T"
Pm -0.796 -3.779 -0.195
Dy 2.453 -5.266 0.286
Pm 2.983 -8.517 -0.862
Ce -1.302 -0.554 0.969
Pm 0.675 -6.099 -2.581
Pm -3.104 -1.361 -1.915
```

***

10.
CePm3Dy12 | PBE-GGA | optimized geometry

Calculated values
Symmetry   No. 123
Calculated formation energy   0.030 eV per atom
D(E_F)   22.7 states/eV/f.u.
V   510.8 Å³/cell

The structure in extended XYZ format:
```
16
Lattice="5.035 0.000 0.000 0.000 5.035 0.000 0.000 0.000 20.147" Properties=species:S:1:pos:R:3 pbc="T T T"
Dy 0.000 2.518 12.607
Dy 0.000 2.518 7.540
Pm 0.000 0.000 15.148
Ce 0.000 0.000 0.000
Pm 0.000 0.000 4.999
Dy 0.000 2.518 2.472
Dy 2.518 0.000 2.472
Dy 2.518 2.518 10.073
Dy 2.518 0.000 12.607
Pm 0.000 0.000 10.073
Dy 2.518 0.000 7.540
Dy 2.518 0.000 17.675
Dy 0.000 2.518 17.675
Dy 2.518 2.518 15.114
Dy 2.518 2.518 5.033
Dy 2.518 2.518 0.000
```

***

11.
CePm7Dy4 | PBE-GGA | optimized geometry

Calculated values
Symmetry   No. 12
Calculated formation energy   0.144 eV per atom
D(E_F)   23.7 states/eV/f.u.
V   401.4 Å³/cell

The structure in extended XYZ format:
```
12
Lattice="5.804 1.430 0.741 3.942 7.847 2.935 -1.349 0.034 10.017" Properties=species:S:1:pos:R:3 pbc="T T T"
Pm 2.902 0.715 0.370
Pm 3.233 2.929 5.440
Dy 7.573 8.108 10.499
Dy 2.635 3.687 8.735
Pm 5.164 6.382 8.252
Dy 5.762 5.625 4.957
Pm 8.140 7.735 6.819
Pm 4.994 5.261 11.374
Ce 0.000 0.000 0.000
Dy 0.824 1.204 3.194
Pm 3.403 4.051 2.319
Pm 0.257 1.577 6.873
```

***

12.
CePm8Dy3 | PBE-GGA | optimized geometry

Calculated values
Symmetry   No. 121
Calculated formation energy   0.558 eV per atom
D(E_F)   19.3 states/eV/f.u.
V   434.7 Å³/cell

The structure in extended XYZ format:
```
12
Lattice="7.584 -0.500 -3.611 -4.437 7.053 -1.172 -0.315 0.500 8.394" Properties=species:S:1:pos:R:3 pbc="T T T"
Dy 2.447 1.888 4.197
Pm 5.168 0.522 -1.870
Dy 0.386 5.165 -0.586
Pm -3.554 5.650 1.240
Ce 0.000 0.000 0.000
Pm 6.197 1.704 2.658
Pm -4.109 6.532 4.315
Pm 0.457 5.349 3.467
Pm -3.104 4.933 6.648
Dy -2.376 3.777 3.611
Pm 0.125 2.620 1.741
Pm 2.565 1.404 -0.144
```

***

13.
CePm6Dy10 | PBE-GGA | optimized geometry

Calculated values
Symmetry   No. 162
Calculated formation energy   0.144 eV per atom
D(E_F)   28.0 states/eV/f.u.
V   561.7 Å³/cell

The structure in extended XYZ format:
```
17
Lattice="-4.356 -3.047 4.393 -6.768 -0.328 -6.939 6.220 -7.365 1.060" Properties=species:S:1:pos:R:3 pbc="T T T"
Pm -3.869 -1.035 -1.320
Pm -3.263 -5.055 0.850
Ce -2.178 -1.523 2.196
Dy -0.288 -6.543 0.590
Pm 0.805 -6.708 3.738
Dy -0.950 -2.644 -0.784
Pm 1.058 -3.704 1.714
Pm -1.642 -5.685 -2.337
Dy -5.736 -0.800 -4.251
Dy 3.734 -5.931 1.581
Dy -3.954 -8.096 -0.702
Dy -2.438 -2.674 -4.273
Dy -5.388 -2.575 1.705
Dy -4.617 -4.197 -2.076
Dy 1.891 -5.020 -1.607
Dy -1.870 -4.481 3.872
Pm -7.255 -2.340 -1.226
```

***

14.
CePm4Dy | PBE-GGA | optimized geometry

Calculated values
Symmetry   No. 74
Energy above the lowest structure with this stoichiometry   0.046 eV/atom
Calculated formation energy   0.259 eV per atom
D(E_F)   15.1 states/eV/f.u.
V   403.7 Å³/cell

The structure in extended XYZ format:
```
12
Lattice="-4.970 2.733 -3.587 -7.890 -5.419 6.802 6.375 5.381 1.545" Properties=species:S:1:pos:R:3 pbc="T T T"
Pm -6.492 1.333 3.732
Dy 3.187 2.690 0.773
Pm -0.781 1.362 5.246
Pm 0.007 1.361 1.028
Dy 0.702 4.057 -1.021
Pm -5.704 1.333 -0.486
Ce -2.485 1.367 -1.794
Ce -6.430 -1.343 1.607
Pm -3.229 -0.028 1.300
Pm -3.256 2.723 3.460
Pm -2.497 4.077 0.288
Pm -3.988 -1.383 4.472
```

***

15.
CePm5Dy | PBE-GGA | optimized geometry

Calculated values
Symmetry   No. 71
Calculated formation energy   0.900 eV per atom
D(E_F)   15.1 states/eV/f.u.
V   293.9 Å³/cell

The structure in extended XYZ format:
```
7
Lattice="5.406 -0.002 1.978 2.104 7.119 2.614 0.186 0.558 7.848" Properties=species:S:1:pos:R:3 pbc="T T T"
Dy 3.848 3.838 6.220
Pm 3.046 5.810 8.398
Pm 1.497 5.042 4.271
Pm 2.703 -0.001 0.989
Pm 4.650 1.866 4.043
Ce 0.000 0.000 0.000
Pm 0.793 2.636 6.191
```

***

16.
CePm2Dy12 | PBE-GGA | optimized geometry

Calculated values
Symmetry   No. 12
Calculated formation energy   0.118 eV per atom
D(E_F)   23.1 states/eV/f.u.
V   966.5 Å³/cell

The structure in extended XYZ format:
```
30
Lattice="6.465 1.488 -0.381 1.488 6.465 0.381 -1.863 1.863 24.698" Properties=species:S:1:pos:R:3 pbc="T T T"
Dy 0.571 3.406 14.195
Dy 4.809 3.150 10.731
Pm 6.476 5.454 6.543
Dy 5.843 2.112 7.768
Pm 3.591 8.338 18.156
Ce 5.002 6.928 0.149
Dy 5.516 6.413 10.498
Dy 1.543 2.433 10.504
Dy 1.676 6.365 2.128
Dy 2.979 4.973 19.706
Dy 4.077 3.788 1.748
Dy 1.925 5.940 22.951
Dy 4.551 7.379 14.200
Dy 5.065 6.864 21.287
Dy 5.002 6.928 3.411
Dy 5.600 2.354 4.612
Dy 0.977 2.999 3.417
Dy 2.314 5.633 11.112
Dy 1.287 6.671 13.967
Dy 0.491 7.463 20.087
Ce 5.065 6.865 24.549
Dy 3.110 4.842 4.992
Dy 4.502 3.539 22.570
Pm 2.500 1.476 6.526
Dy 1.136 2.840 21.281
Pm -0.386 4.363 18.172
Dy 0.249 7.706 16.930
Dy 2.736 5.215 16.550
Dy 3.771 4.177 13.587
Dy 3.352 4.599 8.149
```

***

17.
CePm6Dy4 | PBE-GGA | optimized geometry

Calculated values
Symmetry   No. 63
Calculated formation energy   0.142 eV per atom
D(E_F)   22.7 states/eV/f.u.
V   731.7 Å³/cell

The structure in extended XYZ format:
```
22
Lattice="5.865 0.000 0.000 -2.933 4.818 0.000 0.000 0.000 25.894" Properties=species:S:1:pos:R:3 pbc="T T T"
Dy 2.933 0.485 16.140
Dy 2.933 3.383 24.787
Pm 2.933 0.000 0.000
Ce 2.933 2.742 6.473
Pm 0.000 1.973 15.555
Pm 0.000 1.118 4.680
Dy 2.933 3.383 14.054
Pm 2.933 2.844 2.609
Dy 0.000 1.435 11.840
Dy 2.933 0.485 22.701
Pm 2.933 3.699 17.627
Dy 0.000 4.333 3.193
Pm 0.000 1.118 8.267
Pm 0.000 1.973 23.285
Pm 2.933 3.699 21.214
Ce 0.000 2.075 19.420
Dy 0.000 1.435 1.107
Pm 0.000 4.300 6.473
Pm 2.933 0.000 12.947
Pm 2.933 0.517 19.420
Dy 0.000 4.333 9.754
Pm 2.933 2.844 10.338
```

***

18.
CePm12Dy2 | PBE-GGA | optimized geometry

Calculated values
Symmetry   No. 125
Calculated formation energy   0.333 eV per atom
D(E_F)   25.9 states/eV/f.u.
V   1081.1 Å³/cell

The structure in extended XYZ format:
```
30
Lattice="-0.240 -6.072 -2.367 0.210 -2.374 6.070 -25.394 0.573 1.104" Properties=species:S:1:pos:R:3 pbc="T T T"
Pm -11.020 -3.738 4.747
Pm -14.324 -2.091 0.857
Dy -6.812 -1.031 3.336
Pm -22.398 -3.359 5.188
Pm -14.409 -5.516 0.666
Dy -18.372 -0.770 3.838
Pm -14.179 -2.285 4.279
Pm -22.471 -1.355 2.472
Pm -11.085 -1.558 2.099
Pm -11.174 -6.386 2.570
Pm -16.849 -3.843 2.583
Dy -7.037 -2.880 -0.883
Pm -5.479 -4.100 2.089
Pm -22.619 -4.071 0.471
Pm -2.801 -2.665 3.837
Pm -22.546 -6.075 3.188
Ce -0.120 -3.036 -1.183
Pm -2.938 -2.295 0.484
Ce 0.105 -1.187 3.035
Pm -16.834 0.380 0.732
Pm -5.464 0.123 0.238
Pm -8.575 -4.030 2.224
Pm -11.240 -4.205 -0.077
Pm -19.930 0.450 0.867
Pm -2.892 -6.020 3.471
Pm -19.945 -3.773 2.718
Pm -3.030 -5.650 0.118
Dy -18.597 -2.619 -0.380
Pm -8.560 0.193 0.372
Pm -14.265 -5.710 4.088
```

***

19.
CePm12Dy6 | PBE-GGA | optimized geometry

Calculated values
Symmetry   No. 148
Calculated formation energy   0.028 eV per atom
D(E_F)   30.3 states/eV/f.u.
V   633.9 Å³/cell

The structure in extended XYZ format:
```
19
Lattice="9.032 -0.618 -3.082 -4.119 8.061 -3.082 -0.408 -0.618 9.534" Properties=species:S:1:pos:R:3 pbc="T T T"
Pm 6.533 2.418 1.789
Pm -1.670 5.796 -1.763
Ce 0.000 0.000 0.000
Dy 0.420 2.122 2.864
Pm -1.675 6.535 4.475
Pm -2.028 4.408 1.581
Dy 3.681 3.356 3.776
Pm 0.823 4.224 5.762
Dy 1.253 5.605 2.465
Pm 1.619 6.957 -0.836
Pm 6.180 0.290 -1.105
Dy 4.085 4.704 0.506
Pm -0.002 0.743 6.240
Dy 0.824 3.470 -0.406
Dy 3.252 1.220 0.905
Pm 4.507 6.082 -2.870
Pm 3.681 2.601 -2.392
Pm 6.175 1.029 5.134
Pm 2.885 -0.132 4.207
```

***

20.
CePm3Dy4 | PBE-GGA | optimized geometry

Calculated values
Symmetry   No. 47
Calculated formation energy   0.042 eV per atom
D(E_F)   14.1 states/eV/f.u.
V   259.4 Å³/cell

The structure in extended XYZ format:
```
8
Lattice="3.437 0.492 -0.917 1.652 10.284 -2.340 -1.793 0.809 7.789" Properties=species:S:1:pos:R:3 pbc="T T T"
Dy 0.797 3.392 4.825
Pm 1.648 5.793 2.266
Dy 2.498 8.193 -0.294
Ce 1.718 0.246 -0.459
Pm -0.896 0.405 3.894
Dy -0.033 2.733 1.345
Dy 3.329 8.852 3.186
Pm 0.826 5.142 -1.170
```